Entry 1:
# Rb2Li2Pb, relaxed, DFT PBE
data_Rb2Li2Pb
_symmetry_space_group_name_H-M 'P 4/m b m'
_symmetry_Int_Tables_number 127
_symmetry_space_group_name_Hall '-P 4 2ab'
_cell_length_a 7.8654
_cell_length_b 7.8654
_cell_length_c 6.3005
_cell_angle_alpha 90.00
_cell_angle_beta 90.00
_cell_angle_gamma 90.00
loop_
_atom_site_label
_atom_site_type_symbol
_atom_site_fract_x
_atom_site_fract_y
_atom_site_fract_z
Rb1 Rb 0.1802 0.3198 0.0000
Li1 Li 0.1940 0.6940 0.5000
Pb1 Pb 0.0000 0.0000 0.5000
# M_tot (μB per cell): 0.0

=====

Entry 2:
# RbLiPb4, relaxed, DFT PBE
data_RbLiPb4
_symmetry_space_group_name_H-M 'F -4 3 m'
_symmetry_Int_Tables_number 216
_symmetry_space_group_name_Hall 'F -4 2 3'
_cell_length_a 9.4822
_cell_length_b 9.4822
_cell_length_c 9.4822
_cell_angle_alpha 90.00
_cell_angle_beta 90.00
_cell_angle_gamma 90.00
loop_
_atom_site_label
_atom_site_type_symbol
_atom_site_fract_x
_atom_site_fract_y
_atom_site_fract_z
Rb1 Rb 0.0000 0.0000 0.0000
Li1 Li 0.2500 0.2500 0.7500
Pb1 Pb 0.1240 0.1240 0.3760
# M_tot (μB per cell): 0.0

=====

Entry 3:
# RbLi3Pb, relaxed, DFT PBE
data_RbLi3Pb
_symmetry_space_group_name_H-M 'P m -3 m'
_symmetry_Int_Tables_number 221
_symmetry_space_group_name_Hall '-P 4 2 3'
_cell_length_a 5.4544
_cell_length_b 5.4544
_cell_length_c 5.4544
_cell_angle_alpha 90.00
_cell_angle_beta 90.00
_cell_angle_gamma 90.00
loop_
_atom_site_label
_atom_site_type_symbol
_atom_site_fract_x
_atom_site_fract_y
_atom_site_fract_z
Rb1 Rb 0.0000 0.0000 0.0000
Li1 Li 0.0000 0.5000 0.5000
Pb1 Pb 0.5000 0.5000 0.5000
# M_tot (μB per cell): 0.0

=====

Entry 4:
# Rb3LiPb4, relaxed, DFT PBE
data_Rb3LiPb4
_symmetry_space_group_name_H-M 'C m c m'
_symmetry_Int_Tables_number 63
_symmetry_space_group_name_Hall '-C 2c 2'
_cell_length_a 7.1761
_cell_length_b 16.6231
_cell_length_c 10.7541
_cell_angle_alpha 90.00
_cell_angle_beta 90.00
_cell_angle_gamma 90.00
loop_
_atom_site_label
_atom_site_type_symbol
_atom_site_fract_x
_atom_site_fract_y
_atom_site_fract_z
Rb1 Rb 0.0000 0.1147 0.0434
Rb2 Rb 0.0000 0.2784 0.7500
Li1 Li 0.0000 0.5000 0.0000
Pb1 Pb 0.0000 0.3335 0.1061
Pb2 Pb 0.2264 0.4666 0.2500
# M_tot (μB per cell): 0.0

=====

Entry 5:
# RbLiPb2, relaxed, DFT PBE
data_RbLiPb2
_symmetry_space_group_name_H-M 'R -3 m'
_symmetry_Int_Tables_number 166
_symmetry_space_group_name_Hall '-R 3 2"'
_cell_length_a 4.8624
_cell_length_b 4.8624
_cell_length_c 26.5218
_cell_angle_alpha 90.00
_cell_angle_beta 90.00
_cell_angle_gamma 120.00
loop_
_atom_site_label
_atom_site_type_symbol
_atom_site_fract_x
_atom_site_fract_y
_atom_site_fract_z
Rb1 Rb 0.0000 0.0000 0.0000
Li1 Li 0.0000 0.0000 0.5000
Pb1 Pb 0.0000 0.0000 0.1365
# M_tot (μB per cell): 0.0

=====

Entry 6:
# RbLiPb2, relaxed, DFT PBE
data_RbLiPb2
_symmetry_space_group_name_H-M 'P 1 21/m 1'
_symmetry_Int_Tables_number 11
_symmetry_space_group_name_Hall '-P 2yb'
_cell_length_a 6.4286
_cell_length_b 4.9833
_cell_length_c 8.9916
_cell_angle_alpha 90.00
_cell_angle_beta 110.90
_cell_angle_gamma 90.00
loop_
_atom_site_label
_atom_site_type_symbol
_atom_site_fract_x
_atom_site_fract_y
_atom_site_fract_z
Rb1 Rb 0.2060 0.2500 0.4214
Li1 Li 0.3276 0.7500 0.0910
Pb1 Pb 0.1601 0.2500 0.8979
Pb2 Pb 0.3922 0.7500 0.7776
# M_tot (μB per cell): 0.0

=====

no.,energy (eV per atom)
1,-1.92
2,-2.96
3,-2.24
4,-2.70
5,-2.61
6,-2.74